(1)
VASP calculation (GGA-PBE) on a relaxed structure of ZrZnCr2.

Geometry as extended XYZ:
```
4
Lattice="-1.652 2.144 4.255 1.652 -2.144 4.255 1.652 2.144 -4.255" Properties=species:S:1:pos:R:3 pbc="T T T"
Zr 0.000 0.000 0.000
Zn 0.000 0.000 4.255
Cr 1.652 0.000 2.134
Cr 0.000 2.144 2.120
```

Summary:
E_form: 139 kJ/mol of formula units
Total DFT energy (no corrections): -6.91 eV/atom
DOS(E_F): 1.27 states/eV/atom

(2)
VASP calculation (GGA-PBE) on a relaxed structure of FeIrBr2.

Geometry as extended XYZ:
```
4
Lattice="1.598 0.923 8.025 -1.598 0.923 8.025 0.000 -1.846 8.025" Properties=species:S:1:pos:R:3 pbc="T T T"
Fe 0.000 0.000 0.000
Ir 0.000 0.000 12.038
Br 0.000 0.000 6.263
Br 0.000 0.000 17.813
```

Summary:
Total DFT energy (no corrections): -4.35 eV/atom
DOS(E_F): 0.89 states/eV/atom

(3)
VASP calculation (GGA-PBE) on a relaxed structure of Mg2H2Cl.

Geometry as extended XYZ:
```
5
Lattice="-1.832 1.832 5.016 1.832 -1.832 5.016 1.832 1.832 -5.016" Properties=species:S:1:pos:R:3 pbc="T T T"
Mg 0.000 0.000 1.524
Mg 0.000 0.000 8.508
H 1.832 0.000 2.508
H 0.000 1.832 2.508
Cl 0.000 0.000 5.016
```

Summary:
Total DFT energy (no corrections): -2.75 eV/atom
DOS(E_F): 0.24 states/eV/atom

(4)
VASP calculation (GGA-PBE) on a relaxed structure of Ac8InSi2.

Geometry as extended XYZ:
```
11
Lattice="4.745 -7.334 0.000 4.745 7.334 0.000 -1.610 0.000 5.978" Properties=species:S:1:pos:R:3 pbc="T T T"
Ac 0.938 1.835 3.496
Ac 4.745 3.735 0.000
Ac 0.938 -1.835 3.496
Ac 3.402 0.000 1.217
Ac 4.477 0.000 4.761
Ac 6.941 1.835 2.482
Ac 4.745 -3.735 0.000
Ac 6.941 -1.835 2.482
In 0.000 0.000 0.000
Si 3.940 2.804 2.989
Si 3.940 -2.804 2.989
```

Summary:
Total DFT energy (no corrections): -4.41 eV/atom
DOS(E_F): 1.30 states/eV/atom

(5)
VASP calculation (GGA-PBE) on a relaxed structure of LiPrSc.

Geometry as extended XYZ:
```
6
Lattice="3.817 0.000 0.000 0.000 3.817 0.000 0.000 0.000 11.312" Properties=species:S:1:pos:R:3 pbc="T T T"
Li 0.954 0.954 0.686
Li 2.863 2.863 10.626
Pr 0.954 0.954 8.520
Pr 2.863 2.863 2.793
Sc 0.954 0.954 4.863
Sc 2.863 2.863 6.449
```

Summary:
E_form: 16 kJ/mol of formula units
Total DFT energy (no corrections): -4.29 eV/atom
DOS(E_F): 0.87 states/eV/atom

(6)
VASP calculation (GGA-PBE) on a relaxed structure of Ti4Se3O.

Geometry as extended XYZ:
```
16
Lattice="6.739 0.000 0.000 0.000 6.498 0.000 0.000 0.000 6.579" Properties=species:S:1:pos:R:3 pbc="T T T"
Ti 0.000 0.925 0.000
Ti 0.000 5.400 2.141
Ti 1.636 5.081 5.545
Ti 1.734 1.417 2.255
Ti 3.369 1.098 5.430
Ti 3.369 5.573 3.290
Ti 5.005 1.417 2.255
Ti 5.103 5.081 5.545
Se 0.000 0.562 4.049
Se 1.630 3.790 3.334
Se 1.740 2.708 0.045
Se 3.369 5.936 0.759
Se 4.999 2.708 0.045
Se 5.109 3.790 3.334
O 0.000 5.423 0.159
O 3.369 1.075 3.449
```

Summary:
Total DFT energy (no corrections): -7.06 eV/atom
DOS(E_F): 0.79 states/eV/atom

(7)
VASP calculation (GGA-PBE) on a relaxed structure of Zr2TiCdAu.

Geometry as extended XYZ:
```
5
Lattice="5.205 0.000 0.000 0.000 5.205 0.000 0.000 0.000 4.866" Properties=species:S:1:pos:R:3 pbc="T T T"
Zr 0.000 2.603 0.000
Zr 2.603 0.000 0.000
Ti 0.000 0.000 2.433
Cd 0.000 0.000 0.000
Au 2.603 2.603 2.433
```

Summary:
E_form: 552 kJ/mol of formula units
Total DFT energy (no corrections): -4.69 eV/atom
DOS(E_F): 1.95 states/eV/atom

(8)
VASP calculation (GGA-PBE) on a relaxed structure of KSr3Si.

Geometry as extended XYZ:
```
5
Lattice="6.374 0.000 0.000 0.000 6.374 0.000 0.000 0.000 6.374" Properties=species:S:1:pos:R:3 pbc="T T T"
K 0.000 0.000 0.000
Sr 0.000 0.000 3.187
Sr 0.000 3.187 0.000
Sr 3.187 0.000 0.000
Si 3.187 3.187 3.187
```

Summary:
Total DFT energy (no corrections): -1.17 eV/atom
DOS(E_F): 1.59 states/eV/atom

(9)
VASP calculation (GGA-PBE) on a relaxed structure of Nd2DyEr3.

Geometry as extended XYZ:
```
12
Lattice="8.505 -2.776 0.000 8.505 2.776 0.000 -5.723 0.000 8.255" Properties=species:S:1:pos:R:3 pbc="T T T"
Nd -1.889 0.000 2.963
Nd 1.015 0.000 5.193
Nd 10.272 0.000 3.062
Nd 13.176 0.000 5.292
Dy 4.165 0.000 2.974
Dy 7.122 0.000 5.281
Er 1.032 0.000 1.274
Er -1.759 0.000 7.634
Er 7.064 0.000 0.860
Er 4.223 0.000 7.394
Er 13.046 0.000 0.620
Er 10.255 0.000 6.981
```

Summary:
E_form: 57 kJ/mol of formula units
Total DFT energy (no corrections): -4.54 eV/atom
DOS(E_F): 1.64 states/eV/atom

(10)
VASP calculation (GGA-PBE) on a relaxed structure of Ni10SbP3.

Geometry as extended XYZ:
```
42
Lattice="7.672 0.000 0.000 -3.836 6.644 0.000 0.000 0.000 9.683" Properties=species:S:1:pos:R:3 pbc="T T T"
Ni 0.000 0.000 1.157
Ni 0.000 0.000 8.525
Ni -1.292 2.239 0.000
Ni -2.543 4.405 0.000
Ni -1.828 3.374 2.507
Ni 0.000 1.796 6.750
Ni -2.281 5.746 6.750
Ni 0.000 2.520 4.136
Ni -1.653 5.384 4.136
Ni 1.555 0.898 2.933
Ni 0.000 4.429 1.075
Ni 0.000 4.429 5.783
Ni 2.585 0.000 0.000
Ni 1.292 2.239 0.000
Ni 2.183 1.260 5.547
Ni 1.828 3.374 2.507
Ni 0.000 6.541 2.507
Ni 3.836 0.103 7.176
Ni 2.007 3.270 7.176
Ni 1.653 5.384 4.136
Ni 5.087 0.000 0.000
Ni 2.543 4.405 0.000
Ni 3.836 2.215 3.899
Ni 3.836 2.215 8.608
Ni 2.281 5.746 6.750
Ni 5.489 1.260 5.547
Ni 3.836 4.124 5.547
Ni 6.117 0.898 2.933
Ni 3.836 4.848 2.933
Ni 5.664 3.270 7.176
Sb 0.000 0.000 4.841
Sb 0.000 4.429 8.321
Sb 3.836 2.215 1.362
P -1.918 3.322 4.841
P 0.000 2.190 1.845
P -1.940 5.549 1.845
P 1.896 1.095 7.837
P 3.836 0.000 4.841
P 1.918 3.322 4.841
P 1.940 5.549 1.845
P 5.775 1.095 7.837
P 3.836 4.454 7.837
```

Summary:
Total DFT energy (no corrections): -6.00 eV/atom
DOS(E_F): 0.47 states/eV/atom

(11)
VASP calculation (GGA-PBE) on a relaxed structure of Th5Mn2In2.

Geometry as extended XYZ:
```
18
Lattice="8.273 -3.490 0.000 8.273 3.490 0.000 0.000 0.000 8.449" Properties=species:S:1:pos:R:3 pbc="T T T"
Th 0.000 0.000 0.000
Th 6.366 2.328 5.830
Th 6.366 1.162 1.605
Th 10.181 2.328 5.830
Th 10.181 1.162 1.605
Th 8.273 0.000 4.225
Th 6.366 -1.162 6.844
Th 6.366 -2.328 2.619
Th 10.181 -1.162 6.844
Th 10.181 -2.328 2.619
Mn 8.273 2.638 3.512
Mn 8.273 0.852 7.737
Mn 8.273 -0.852 0.712
Mn 8.273 -2.638 4.937
In 3.693 0.000 0.000
In 4.581 0.000 4.225
In 11.966 0.000 4.225
In 12.854 0.000 0.000
```

Summary:
E_form: -22 kJ/mol of formula units
Total DFT energy (no corrections): -6.79 eV/atom
DOS(E_F): 1.06 states/eV/atom

(12)
VASP calculation (GGA-PBE) on a relaxed structure of K4ThPa3Te8.

Geometry as extended XYZ:
```
16
Lattice="4.415 2.549 8.529 -4.415 2.549 8.529 0.000 -5.098 8.529" Properties=species:S:1:pos:R:3 pbc="T T T"
K 0.000 0.000 0.000
K -2.208 -1.275 8.529
K -2.208 1.275 17.058
K 0.000 2.549 8.529
Th 0.000 0.000 12.793
Pa -4.415 0.000 12.793
Pa -2.208 1.275 4.264
Pa 2.208 1.275 4.264
Te -2.229 -1.287 14.654
Te 0.000 0.000 6.106
Te 0.000 -2.574 10.932
Te -2.229 1.287 10.932
Te 2.229 -1.287 14.654
Te 0.000 2.574 14.654
Te 0.000 0.000 19.481
Te 2.229 1.287 10.932
```

Summary:
Total DFT energy (no corrections): -5.07 eV/atom
DOS(E_F): 1.23 states/eV/atom